1.
This record from Alexandria describes a relaxed Ba3BPt crystal. The functional is PBE.

Space-group type: Pm-3m
E_form (eV/atom): 0.35
Polymorph energy (0 for the lowest one) (eV per atom): 0.000

a b c (Å): 5.7057 5.7057 5.7057
angles (deg): 90.00 90.00 90.00
Atoms (fractional coordinates):
Pt (0.5000, 0.5000, 0.5000)
Ba (0.5000, 0.0000, 0.0000)
Ba (0.0000, 0.5000, 0.0000)
B (0.0000, 0.0000, 0.0000)
Ba (0.0000, 0.0000, 0.5000)

=====

2.
This record from Alexandria describes a relaxed Ba2B2Pt crystal. The functional is PBE.

Space-group type: P4/mbm
E_form (eV/atom): 0.26
Polymorph energy (0 for the lowest one) (eV per atom): 0.284

a b c (Å): 7.1672 7.1672 4.3949
angles (deg): 90.00 90.00 90.00
Atoms (fractional coordinates):
Pt (0.5000, 0.5000, 0.0000)
B (0.0788, 0.4212, 0.0000)
B (0.4212, 0.9212, 0.0000)
Ba (0.7902, 0.2902, 0.5000)
Ba (0.2902, 0.2098, 0.5000)
B (0.5788, 0.0788, 0.0000)
Ba (0.2098, 0.7098, 0.5000)
Ba (0.7098, 0.7902, 0.5000)
B (0.9212, 0.5788, 0.0000)
Pt (0.0000, 0.0000, 0.0000)

=====

3.
This record from Alexandria describes a relaxed BaB2Pt5 crystal. The functional is PBE.

Space-group type: Immm
E_form (eV/atom): -0.37

a b c (Å): 4.0625 6.1684 6.1684
angles (deg): 64.77 70.77 70.77
Atoms (fractional coordinates):
B (0.2270, 0.2730, 0.2730)
Ba (0.0000, 0.0000, 0.0000)
Pt (0.3364, 0.8677, 0.4595)
B (0.7730, 0.7270, 0.7270)
Pt (0.0000, 0.5000, 0.5000)
Pt (0.3364, 0.4595, 0.8677)
Pt (0.6636, 0.1323, 0.5405)
Pt (0.6636, 0.5405, 0.1323)